Here is an optimized crystal structure of KCdSe2 from Alexandria. Energies are from PBE.

abc: 5.859 5.859 5.859
angles: 139.27 111.33 83.03
Fractional positions:
1 Cd 0.250 0.750 0.500
2 K 0.750 0.250 0.500
3 Se 0.048 0.048 0.000
4 Se 0.452 0.452 0.000

Calculated values
**Crystal system**: orthorhombic
**Space-group type**: Immm (71)
**E_tot**: -10.91 eV for the cell shown
**ΔE_f (raw)**: -0.482 eV per atom

Here is an optimized crystal structure of KCdSe2 from Alexandria. Energies are from PBE.

abc: 3.340 4.276 8.580
angles: 90.00 90.00 90.00
Fractional positions:
1 Cd 0.000 0.000 0.454
2 K 0.500 0.500 0.954
3 Se 0.000 0.000 0.758
4 Se 0.500 0.500 0.335

Calculated values
**Crystal system**: orthorhombic
**Space-group type**: Pmm2 (25)
**E_tot**: -11.10 eV for the cell shown
**ΔE_f (raw)**: -0.529 eV per atom

Here is an optimized crystal structure of K2Cd2Se3 from Alexandria. Energies are from PBE.

abc: 7.537 11.462 11.462
angles: 84.33 70.71 70.71
Fractional positions:
1 K 0.891 0.018 0.194
2 K 0.391 0.194 0.018
3 K 0.750 0.284 0.716
4 K 0.750 0.568 0.432
5 K 0.250 0.432 0.568
6 K 0.250 0.716 0.284
7 K 0.609 0.806 0.982
8 K 0.109 0.982 0.806
9 Cd 0.638 0.356 0.205
10 Cd 0.617 0.081 0.545
11 Cd 0.138 0.205 0.356
12 Cd 0.117 0.545 0.081
13 Cd 0.883 0.455 0.919
14 Cd 0.862 0.795 0.644
15 Cd 0.383 0.919 0.455
16 Cd 0.362 0.644 0.795
17 Se 0.736 0.270 0.417
18 Se 0.724 0.570 0.148
19 Se 0.236 0.417 0.270
20 Se 0.224 0.148 0.570
21 Se 0.839 0.234 0.990
22 Se 0.161 0.766 0.010
23 Se 0.776 0.852 0.430
24 Se 0.764 0.583 0.730
25 Se 0.339 0.990 0.234
26 Se 0.276 0.430 0.852
27 Se 0.264 0.730 0.583
28 Se 0.661 0.010 0.766

Calculated values
**Crystal system**: monoclinic
**Space-group type**: C2/c (15)
**Relative energy among the computed polymorphs**: 0.00 eV/f.u.
**E_tot**: -83.38 eV for the cell shown
**ΔE_f (raw)**: -0.909 eV per atom

Here is an optimized crystal structure of KCdSe2 from Alexandria. Energies are from PBE.

abc: 7.987 7.987 6.794
angles: 54.00 54.00 90.00
Each line ends with the local moment (μB).
Fractional positions:
1 K 0.500 0.500 0.000  0.00
2 K 0.250 0.750 0.500  0.00
3 Se 0.689 0.125 0.250  0.21
4 Se 0.061 0.625 0.250  0.21
5 Se 0.375 0.311 0.750  0.19
6 Se 0.875 0.939 0.750  0.19
7 Cd 0.000 0.000 0.000  0.01
8 Cd 0.750 0.250 0.500  0.01

Calculated values
**Crystal system**: tetragonal
**Space-group type**: I-42d (122)
**E_tot**: -22.76 eV for the cell shown
**ΔE_f (raw)**: -0.599 eV per atom